1.
DFT (PBE-GGA) results for Ag3SbCl8 after structural relaxation.

Calculated values
Formation energy without anion corrections = -0.535 eV per atom

Cell lengths 8.2894, 9.4981, 9.0542 Å; angles 90.00, 90.00, 90.00 degrees
Space group C222 (No. 21)
Unique sites:
Ag1 0.0000 0.0000 0.0000 [2 per cell]
Ag2 0.2500 0.2500 0.8230 [4 per cell]
Sb1 0.0000 0.0000 0.5000 [2 per cell]
Cl1 0.0000 0.2504 0.5000 [4 per cell]
Cl2 0.0000 0.2556 0.0000 [4 per cell]
Cl3 0.2097 0.0008 0.6917 [8 per cell]

---

2.
DFT (PBE-GGA) results for Sm2InCo after structural relaxation.

Calculated values
Electronic total energy = -4.956 eV per atom

Cell lengths 3.8114, 3.8114, 25.2708 Å; angles 90.00, 90.00, 120.00 degrees
Space group R-3m (No. 166, hexagonal axes)
Unique sites:
Sm1 0.0000 0.0000 0.2308 [6 per cell]
In1 0.0000 0.0000 0.0000 [3 per cell]
Co1 0.0000 0.0000 0.5000 [3 per cell]

---

3.
DFT (PBE-GGA) results for TlAgHg2 after structural relaxation.

Calculated values
Electronic total energy = -1.367 eV per atom

Cell lengths 9.6759, 4.0395, 5.4064 Å; angles 90.00, 108.33, 90.00 degrees
Space group Cm (No. 8)
Unique sites:
Tl1 0.0000 0.0000 0.0000 [2 per cell]
Ag1 0.2465 0.5000 0.2658 [2 per cell]
Hg1 0.2375 0.0000 0.7159 [2 per cell]
Hg2 0.4816 0.0000 0.4555 [2 per cell]

---

4.
DFT (PBE-GGA) results for TbGd2Mn after structural relaxation.

Calculated values
Polymorph energy (0 for the lowest one) = 156 meV/atom

Cell lengths 4.7640, 4.7640, 4.8119 Å; angles 90.00, 90.00, 90.00 degrees
Space group P4/mmm (No. 123)
Unique sites:
Tb1 0.0000 0.0000 0.0000 [1 per cell]
Gd1 0.0000 0.5000 0.5000 [2 per cell]
Mn1 0.5000 0.5000 0.0000 [1 per cell]

---

5.
DFT (PBE-GGA) results for PmDyPd2 after structural relaxation.

Calculated values
Polymorph energy (0 for the lowest one) = 51 meV/atom

Cell lengths 5.0847, 5.0847, 3.4706 Å; angles 90.00, 90.00, 90.00 degrees
Space group P4/mmm (No. 123)
Unique sites:
Pm1 0.0000 0.0000 0.0000 [1 per cell]
Dy1 0.5000 0.5000 0.0000 [1 per cell]
Pd1 0.0000 0.5000 0.5000 [2 per cell]

---

6.
DFT (PBE-GGA) results for ErUAlO6 after structural relaxation.

Calculated values
Formation energy without anion corrections = -3.186 eV per atom

Cell lengths 5.2726, 5.2726, 9.6329 Å; angles 90.00, 90.00, 120.00 degrees
Space group P-31c (No. 163)
Unique sites:
Er1 0.0000 0.0000 0.0000 [2 per cell]
U1 0.3333 0.6667 0.2500 [2 per cell]
Al1 0.3333 0.6667 0.7500 [2 per cell]
O1 0.0222 0.3632 0.6390 [12 per cell]

---

7.
DFT (PBE-GGA) results for Ac3OsSeCl after structural relaxation.

Calculated values
Formation energy without anion corrections = -1.144 eV per atom

Cell lengths 8.1747, 4.4718, 11.1549 Å; angles 90.00, 96.24, 90.00 degrees
Space group P2_1/m (No. 11)
Unique sites:
Ac1 0.0281 0.2500 0.1977 [2 per cell]
Ac2 0.2121 0.7500 0.5035 [2 per cell]
Ac3 0.4089 0.2500 0.7976 [2 per cell]
Os1 0.0975 0.2500 0.6697 [2 per cell]
Se1 0.4072 0.2500 0.3293 [2 per cell]
Cl1 0.3104 0.7500 0.9737 [2 per cell]

---

8.
DFT (PBE-GGA) results for CaLuSnPb after structural relaxation.

Calculated values
Electronic total energy = -3.991 eV per atom

Cell lengths 7.6543, 7.6543, 7.6543 Å; angles 90.00, 90.00, 90.00 degrees
Space group F-43m (No. 216)
Unique sites:
Ca1 0.0000 0.0000 0.0000 [4 per cell]
Lu1 0.0000 0.0000 0.5000 [4 per cell]
Sn1 0.2500 0.2500 0.2500 [4 per cell]
Pb1 0.2500 0.2500 0.7500 [4 per cell]

---

9.
DFT (PBE-GGA) results for TaCuC2 after structural relaxation.

Calculated values
Polymorph energy (0 for the lowest one) = 297 meV/atom

Cell lengths 5.4245, 5.4245, 5.4245 Å; angles 90.00, 90.00, 90.00 degrees
Space group Fm-3m (No. 225)
Unique sites:
Ta1 0.0000 0.0000 0.0000 [4 per cell]
Cu1 0.0000 0.0000 0.5000 [4 per cell]
C1 0.2500 0.2500 0.2500 [8 per cell]

---

10.
DFT (PBE-GGA) results for Pm4Al2Ga after structural relaxation.

Calculated values
Electronic total energy = -4.496 eV per atom

Cell lengths 5.1800, 5.1800, 25.3217 Å; angles 90.00, 90.00, 120.00 degrees
Space group R-3m (No. 166, hexagonal axes)
Unique sites:
Pm1 0.0000 0.0000 0.1212 [6 per cell]
Pm2 0.0000 0.0000 0.3729 [6 per cell]
Al1 0.0000 0.0000 0.2491 [6 per cell]
Ga1 0.0000 0.0000 0.5000 [3 per cell]

---

11.
DFT (PBE-GGA) results for RbCd2Ag after structural relaxation.

Calculated values
Polymorph energy (0 for the lowest one) = 35 meV/atom

Cell lengths 4.8063, 6.3283, 8.1454 Å; angles 90.00, 90.00, 90.00 degrees
Space group Pmmn (No. 59, origin choice 2)
Unique sites:
Rb1 0.2500 0.2500 0.0680 [2 per cell]
Cd1 0.2500 0.5024 0.6271 [4 per cell]
Ag1 0.2500 0.7500 0.3196 [2 per cell]

---

12.
DFT (PBE-GGA) results for Ge2Sb2Se5 after structural relaxation.

Calculated values
Formation energy without anion corrections = -0.084 eV per atom

Cell lengths 19.3583, 4.8571, 5.8057 Å; angles 90.00, 95.15, 90.00 degrees
Space group C2/m (No. 12)
Unique sites:
Ge1 0.1272 0.0000 0.3782 [4 per cell]
Sb1 0.0827 0.5000 0.7993 [4 per cell]
Se1 0.0000 0.0000 0.5000 [2 per cell]
Se2 0.1498 0.0000 0.9594 [4 per cell]
Se3 0.1684 0.5000 0.4721 [4 per cell]